Sr3Ga4Si | PBE | optimized geometry

Computed properties:
DFT total energy = -24.65 eV for the cell shown
uncorrected formation energy = -0.259 eV/atom
magnetic moment = 0.000 μB per atom

Cell: 9.3525 9.3525 9.3525 Å, 148.29 146.66 46.67°
Fractional positions:
Sr1 0.0000 0.0000 0.0000
Sr2 0.2948 0.7948 0.5000
Sr3 0.7052 0.2052 0.5000
Ga1 0.1172 0.3788 0.7384
Ga2 0.3597 0.6212 0.7384
Ga3 0.6403 0.3788 0.2616
Ga4 0.8828 0.6212 0.2616
Si1 0.5000 0.5000 0.0000



LiAc2OsC | PBE | optimized geometry

Computed properties:
DFT total energy = -30.91 eV for the cell shown
magnetic moment = 0.000 μB per atom

Cell: 5.5842 5.5842 3.9672 Å, 90.00 90.00 90.00°
Fractional positions:
Li1 0.0000 0.0000 0.0000
Ac1 0.0000 0.5000 0.5000
Ac2 0.5000 0.0000 0.5000
Os1 0.5000 0.5000 0.0000
C1 0.5000 0.5000 0.5000



NpP2 | PBE | optimized geometry

Computed properties:
DFT total energy = -51.38 eV for the cell shown
magnetic moment = 0.852 μB per atom

Cell: 7.9566 7.9566 7.9566 Å, 152.35 152.35 39.50°
Fractional positions:
Np1 0.1374 0.1374 0.0000
Np2 0.8626 0.8626 0.0000
P1 0.0000 0.5000 0.5000
P2 0.3207 0.3207 0.0000
P3 0.5000 0.0000 0.5000
P4 0.6793 0.6793 0.0000



PmErGa4 | PBE | optimized geometry

Computed properties:
DFT total energy = -25.33 eV for the cell shown
energy above the most stable polymorph in this dataset = 0 meV per atom
magnetic moment = 0.000 μB per atom

Cell: 4.2304 4.2304 8.3101 Å, 90.00 90.00 120.00°
Fractional positions:
Pm1 0.0000 0.0000 0.0000
Er1 0.0000 0.0000 0.5000
Ga1 0.3333 0.6667 0.2578
Ga2 0.3333 0.6667 0.7422
Ga3 0.6667 0.3333 0.2578
Ga4 0.6667 0.3333 0.7422



CoBiTe2Au | PBE | optimized geometry

Computed properties:
DFT total energy = -18.94 eV for the cell shown
uncorrected formation energy = 0.322 eV/atom
energy above the most stable polymorph in this dataset = 0 meV per atom
magnetic moment = 0.000 μB per atom

Cell: 5.0056 5.0056 4.9636 Å, 90.00 90.00 90.00°
Fractional positions:
Co1 0.0000 0.0000 0.0000
Bi1 0.5000 0.5000 0.5000
Te1 0.0000 0.5000 0.0000
Te2 0.5000 0.0000 0.0000
Au1 0.0000 0.0000 0.5000



NaHo2CuO5 | PBE | optimized geometry

Computed properties:
DFT total energy = -121.20 eV for the cell shown
uncorrected formation energy = -2.360 eV/atom
magnetic moment = 0.000 μB per atom

Cell: 6.4362 6.4362 5.5310 Å, 90.00 90.00 90.00°
Fractional positions:
Na1 0.0000 0.0000 0.0000
Na2 0.5000 0.5000 0.0000
Ho1 0.1762 0.3238 0.5000
Ho2 0.3238 0.8238 0.5000
Ho3 0.6762 0.1762 0.5000
Ho4 0.8238 0.6762 0.5000
Cu1 0.0000 0.5000 0.0000
Cu2 0.5000 0.0000 0.0000
O1 0.0000 0.0000 0.5000
O2 0.1345 0.6345 0.2454
O3 0.1345 0.6345 0.7546
O4 0.3655 0.1345 0.2454
O5 0.3655 0.1345 0.7546
O6 0.5000 0.5000 0.5000
O7 0.6345 0.8655 0.2454
O8 0.6345 0.8655 0.7546
O9 0.8655 0.3655 0.2454
O10 0.8655 0.3655 0.7546



SrLa2In | PBE | optimized geometry

Computed properties:
DFT total energy = -14.40 eV for the cell shown
magnetic moment = 0.624 μB per atom

Cell: 5.8089 5.8089 5.8089 Å, 60.00 60.00 60.00°
Fractional positions:
Sr1 0.0000 0.0000 0.0000
La1 0.5000 0.5000 0.5000
La2 0.7500 0.7500 0.7500
In1 0.2500 0.2500 0.2500



CdHgBi | PBE | optimized geometry

Computed properties:
DFT total energy = -9.91 eV for the cell shown
energy above the most stable polymorph in this dataset = 8 meV per atom
magnetic moment = 0.000 μB per atom

Cell: 3.2710 3.2710 16.4729 Å, 93.95 93.95 85.44°
Fractional positions:
Cd1 0.1857 0.1857 0.4338
Cd2 0.8143 0.8143 0.5662
Hg1 0.2571 0.2571 0.0760
Hg2 0.7429 0.7429 0.9240
Bi1 0.4185 0.4185 0.2685
Bi2 0.5815 0.5815 0.7315